Li5Fe7O3F13 (GGA+U, relaxed); total moment = 0.997 μB per atom; VASP energy = -5.51 eV/atom; mass density = 3.6 Mg/m³; density of states at the Fermi level = 0.00 states/eV/cell
1.0
6.194 0.003 -0.019
-3.094 5.363 -0.004
-3.073 -1.791 10.128
F Fe O Li
13 7 3 5
direct
0.763 0.398 0.632 F
0.737 0.867 0.131 F
0.239 0.137 0.370 F
0.712 0.591 0.373 F
0.755 0.635 0.867 F
0.763 0.876 0.631 F
0.254 0.381 0.134 F
0.247 0.115 0.866 F
0.258 0.651 0.874 F
0.754 0.117 0.373 F
0.248 0.878 0.632 F
0.256 0.620 0.371 F
0.710 0.109 0.858 F
0.503 0.510 0.504 Fe
0.481 0.995 0.005 Fe
0.487 0.256 0.741 Fe
0.907 0.670 0.079 Fe
0.488 0.741 0.742 Fe
0.494 0.235 0.244 Fe
0.989 0.248 0.248 Fe
0.298 0.405 0.629 O
0.281 0.892 0.137 O
0.741 0.335 0.125 O
0.480 0.751 0.246 Li
0.119 0.806 0.438 Li
0.906 0.206 0.568 Li
0.132 0.317 0.938 Li
0.997 0.757 0.744 Li